## PrTc3Ge3 (PBE-GGA)

Data for PrTc3Ge3 after structural relaxation.

Cell and atoms, written as CIF:
```
data_PrTc3Ge3
_chemical_formula_sum 'Pr2 Tc6 Ge6'
_symmetry_space_group_name_H-M 'P 1'
_symmetry_Int_Tables_number 1
_cell_length_a 6.789
_cell_length_b 6.789
_cell_length_c 6.789
_cell_angle_alpha 90.00
_cell_angle_beta 90.00
_cell_angle_gamma 90.00
loop_
_symmetry_equiv_pos_as_xyz
'x,y,z'
loop_
_atom_site_label
_atom_site_type_symbol
_atom_site_fract_x
_atom_site_fract_y
_atom_site_fract_z
_atom_site_occupancy
Ge1 Ge 0.500 0.000 0.250 1
Ge2 Ge 0.250 0.500 0.000 1
Ge3 Ge 0.000 0.750 0.500 1
Ge4 Ge 0.500 0.000 0.750 1
Ge5 Ge 0.000 0.250 0.500 1
Ge6 Ge 0.750 0.500 0.000 1
Tc1 Tc 0.500 0.250 0.000 1
Tc2 Tc 0.750 0.000 0.500 1
Tc3 Tc 0.000 0.500 0.250 1
Tc4 Tc 0.500 0.750 0.000 1
Tc5 Tc 0.000 0.500 0.750 1
Tc6 Tc 0.250 0.000 0.500 1
Pr1 Pr 0.500 0.500 0.500 1
Pr2 Pr 0.000 0.000 0.000 1
```

space-group type	Pm-3n
ΔE_f	328	meV per atom
N(E_F)	13.32	states/eV/cell
energy relative to the lowest polymorph listed for this composition	415	meV per atom


## RbTe2 (PBE-GGA)

Data for RbTe2 after structural relaxation.

Cell and atoms, written as CIF:
```
data_RbTe2
_chemical_formula_sum 'Rb2 Te4'
_symmetry_space_group_name_H-M 'P 1'
_symmetry_Int_Tables_number 1
_cell_length_a 5.183
_cell_length_b 5.635
_cell_length_c 9.536
_cell_angle_alpha 77.30
_cell_angle_beta 80.38
_cell_angle_gamma 89.10
loop_
_symmetry_equiv_pos_as_xyz
'x,y,z'
loop_
_atom_site_label
_atom_site_type_symbol
_atom_site_fract_x
_atom_site_fract_y
_atom_site_fract_z
_atom_site_occupancy
Te1 Te 0.457 0.768 0.450 1
Te2 Te 0.619 0.920 0.132 1
Te3 Te 0.381 0.080 0.868 1
Te4 Te 0.543 0.232 0.550 1
Rb1 Rb 0.896 0.622 0.768 1
Rb2 Rb 0.104 0.378 0.232 1
```

space-group type	P-1
N(E_F)	0.33	states/eV/cell
raw formation energy	-55.3	kJ per mole of atoms
energy relative to the lowest polymorph listed for this composition	17	meV per atom